1.
Below is a geometry-optimized SmTm2Al7Ag2 structure, with properties calculated at the PBE level.

CIF file:
```
data_SmTm2Al7Ag2
_cell_length_a 9.3348
_cell_length_b 9.3348
_cell_length_c 9.3348
_cell_angle_alpha 34.55
_cell_angle_beta 34.55
_cell_angle_gamma 34.55
_space_group_name_H-M_alt 'P 1'
_space_group_IT_number 1
loop_
_space_group_symop_operation_xyz
'x,y,z'
loop_
_atom_site_label
_atom_site_fract_x
_atom_site_fract_y
_atom_site_fract_z
Al1 0.5885 0.0766 0.5885
Al2 0.5885 0.5885 0.0766
Al3 0.4115 0.9234 0.4115
Al4 0.4115 0.4115 0.9234
Al5 0.5000 0.5000 0.5000
Al6 0.9234 0.4115 0.4115
Al7 0.0766 0.5885 0.5885
Ag1 0.6644 0.6644 0.6644
Ag2 0.3356 0.3356 0.3356
Tm1 0.1424 0.1424 0.1424
Tm2 0.8576 0.8576 0.8576
Sm1 0.0000 0.0000 0.0000
```

Values from the calculation:
energy	-51.0	eV/cell

2.
Below is a geometry-optimized AgN structure, with properties calculated at the PBE level.

CIF file:
```
data_AgN
_cell_length_a 5.8026
_cell_length_b 3.9664
_cell_length_c 4.5245
_cell_angle_alpha 90.00
_cell_angle_beta 90.00
_cell_angle_gamma 90.00
_space_group_name_H-M_alt 'P 1'
_space_group_IT_number 1
loop_
_space_group_symop_operation_xyz
'x,y,z'
loop_
_atom_site_label
_atom_site_fract_x
_atom_site_fract_y
_atom_site_fract_z
N1 0.7500 0.0000 0.5878
N2 0.2500 0.5000 0.8368
N3 0.7500 0.5000 0.1632
N4 0.2500 0.0000 0.4122
Ag1 0.2500 0.0000 0.9380
Ag2 0.7500 0.0000 0.0620
Ag3 0.5000 0.5000 0.5000
Ag4 0.0000 0.5000 0.5000
```

Values from the calculation:
energy	-31.3	eV/cell

3.
Below is a geometry-optimized Na5Pt3C3 structure, with properties calculated at the PBE level.

CIF file:
```
data_Na5Pt3C3
_cell_length_a 8.1595
_cell_length_b 8.1595
_cell_length_c 3.8091
_cell_angle_alpha 90.00
_cell_angle_beta 90.00
_cell_angle_gamma 120.00
_space_group_name_H-M_alt 'P 1'
_space_group_IT_number 1
loop_
_space_group_symop_operation_xyz
'x,y,z'
loop_
_atom_site_label
_atom_site_fract_x
_atom_site_fract_y
_atom_site_fract_z
Na1 0.0000 0.7399 0.0000
Na2 0.2601 0.2601 0.0000
Na3 0.6667 0.3333 0.0000
Na4 0.7399 0.0000 0.0000
Na5 0.3333 0.6667 0.0000
Pt1 0.3622 0.0000 0.5000
Pt2 0.6378 0.6378 0.5000
Pt3 0.0000 0.3622 0.5000
C1 0.3629 0.0000 0.0000
C2 0.0000 0.3629 0.0000
C3 0.6371 0.6371 0.0000
```

Values from the calculation:
energy	-50.9	eV/cell

Mass density values, unit g cm⁻³, following the record order: 6.4; 7.8; 5.6.